Entry 1:
Crystalline Tl3Cd5Hg3 at its relaxed geometry. Source: Alexandria, functional PBE.

Its calculated total energy is -11.31 eV for the cell shown. The energy of formation comes out at 11.1 kJ per mole of atoms.

The structure belongs to space group P1 (No. 1); the cell edges are 3.367, 10.524 and 10.525 Å and the angles 60.00°, 89.96° and 89.99°. The inequivalent atoms are Tl at (0.000, 0.000, 0.000), Tl at (0.000, 0.368, 0.816), Tl at (0.001, 0.184, 0.632), Cd at (0.500, 0.184, 0.116), Cd at (0.500, 0.517, 0.149), Cd at (0.500, 0.850, 0.483), Cd at (0.500, 0.884, 0.816), Cd at (0.501, 0.483, 0.517), Hg at (0.499, 0.751, 0.249), Hg at (0.500, 0.617, 0.816) and Hg at (0.502, 0.184, 0.383).

Entry 2:
Crystalline Tl3Cd3Hg2 at its relaxed geometry. Source: Alexandria, functional PBE.

Its calculated total energy is -41.00 eV for the cell shown. The energy of formation comes out at 2.4 kJ per mole of atoms.

The structure belongs to space group Pnma (No. 62); the cell edges are 10.372, 13.326 and 6.382 Å and the angles 90.00°, 90.00° and 90.00°. The inequivalent atoms are Tl at (0.024, 0.124, 0.096), Tl at (0.217, 0.250, 0.627), Cd at (0.210, 0.750, 0.645), Cd at (0.223, 0.002, 0.697) and Hg at (0.040, 0.611, 0.388).

Entry 3:
Crystalline TlCd3Hg7 at its relaxed geometry. Source: Alexandria, functional PBE.

Its calculated total energy is -13.72 eV for the cell shown. The energy of formation comes out at 3.2 kJ per mole of atoms.

The structure belongs to space group Cm (No. 8); the cell edges are 16.233, 6.822 and 5.775 Å and the angles 90.00°, 110.13° and 90.00°. The inequivalent atoms are Tl at (0.000, 0.000, 0.000), Cd at (0.000, 0.500, 0.948), Cd at (0.026, 0.233, 0.519), Hg at (0.162, 0.500, 0.442), Hg at (0.185, 0.233, 0.003), Hg at (0.318, 0.231, 0.700), Hg at (0.349, 0.500, 0.267) and Hg at (0.367, 0.000, 0.256).

Entry 4:
Crystalline Tl2Cd4Hg at its relaxed geometry. Source: Alexandria, functional PBE.

Its calculated total energy is -16.87 eV for the cell shown. The energy of formation comes out at 3.6 kJ per mole of atoms.

The structure belongs to space group Cmmm (No. 65); the cell edges are 3.234, 33.551 and 3.338 Å and the angles 90.00°, 90.00° and 90.00°. The inequivalent atoms are Tl at (0.000, 0.203, 0.000), Cd at (0.000, 0.067, 0.000), Cd at (0.000, 0.370, 0.500) and Hg at (0.000, 0.500, 0.500).